The following is a PBE-GGA calculation of a relaxed ThAlRu crystal, from Alexandria via LeMat-Bulk.

Cell lengths 3.9250, 4.3643, 4.3643 Å; angles 120.00, 90.00, 90.00 degrees
Last column: nearest neighbours and their distance in Å.
Atoms (fractional coordinates):
Th (0.6660, 0.6667, 0.3333)  6 Ru 3.19-3.20, 6 Al 3.19
Ru (0.1678, 0.3333, 0.6667)  3 Al 2.52
Al (0.1662, 0.0000, 0.0000)  3 Ru 2.52

Computed properties:
E (eV/atom): -7.25
Energy relative to the elements (kJ per mole of atoms): -41.9
Calculated density (g/cm³): 9.2

The following is a PBE-GGA calculation of a relaxed Th6Al3Ru crystal, from Alexandria via LeMat-Bulk.

Cell lengths 8.3526, 8.3526, 8.3526 Å; angles 87.26, 87.26, 87.26 degrees
Last column: nearest neighbours and their distance in Å.
Atoms (fractional coordinates):
Th (0.2218, 0.8827, 0.2216)  1 Ru 2.79
Th (0.4814, 0.4809, 0.1769)  1 Ru 2.72, 1 Th 2.96
Th (0.1769, 0.4814, 0.4809)  1 Ru 2.72, 1 Th 2.96
Th (0.7782, 0.1173, 0.7784)  1 Ru 2.79
Th (0.5186, 0.5191, 0.8231)  1 Ru 2.72, 1 Th 2.96
Th (0.8231, 0.5186, 0.5191)  1 Ru 2.72, 1 Th 2.96
Th (0.2216, 0.2218, 0.8827)  1 Ru 2.79
Th (0.5191, 0.8231, 0.5186)  1 Ru 2.72, 1 Th 2.96
Th (0.7784, 0.7782, 0.1173)  1 Ru 2.79
Th (0.4809, 0.1769, 0.4814)  1 Ru 2.72, 1 Th 2.96
Th (0.8827, 0.2216, 0.2218)  1 Ru 2.79
Th (0.1173, 0.7784, 0.7782)  1 Ru 2.79
Al (0.8933, 0.4683, 0.8938)  1 Al 2.66
Al (0.5317, 0.1062, 0.1067)  1 Al 2.66
Al (0.1067, 0.5317, 0.1062)  1 Al 2.66
Al (0.4683, 0.8938, 0.8933)  1 Al 2.66
Al (0.8938, 0.8933, 0.4683)  1 Al 2.66
Al (0.1062, 0.1067, 0.5317)  1 Al 2.66
Ru (0.5000, 0.5000, 0.5000)  6 Th 2.72
Ru (0.0000, 0.0000, 0.0000)  6 Th 2.79

Computed properties:
E (eV/atom): -6.58
Energy relative to the elements (kJ per mole of atoms): -7.8
Calculated density (g/cm³): 9.0

The following is a PBE-GGA calculation of a relaxed ThAl2Ru crystal, from Alexandria via LeMat-Bulk.

Cell lengths 4.2528, 4.2528, 5.8272 Å; angles 68.60, 68.60, 60.00 degrees
Last column: nearest neighbours and their distance in Å.
Atoms (fractional coordinates):
Al (0.2063, 0.2063, 0.3810)  3 Ru 2.53, 3 Al 2.76
Al (0.7937, 0.7937, 0.6190)  3 Ru 2.53, 3 Al 2.76
Ru (0.5000, 0.5000, 0.5000)  6 Al 2.53
Th (0.0000, 0.0000, 0.0000)  8 Al 3.18-3.27

Computed properties:
E (eV/atom): -6.50
Energy relative to the elements (kJ per mole of atoms): -43.7
Calculated density (g/cm³): 7.8

The following is a PBE-GGA calculation of a relaxed ThAl2Ru crystal, from Alexandria via LeMat-Bulk.

Cell lengths 3.1656, 3.1656, 7.4416 Å; angles 90.00, 90.00, 90.00 degrees
Last column: nearest neighbours and their distance in Å.
Atoms (fractional coordinates):
Ru (0.5000, 0.5000, 0.0000)  8 Al 2.61
Al (0.0000, 0.0000, 0.1807)  4 Ru 2.61, 1 Al 2.69
Al (0.0000, 0.0000, 0.8193)  4 Ru 2.61, 1 Al 2.69
Th (0.5000, 0.5000, 0.5000)  4 Th 3.17, 8 Al 3.26

Computed properties:
E (eV/atom): -6.51
Energy relative to the elements (kJ per mole of atoms): -44.8
Calculated density (g/cm³): 8.6